Computed, not measured: Ga2As2S7 after structural relaxation at the PBE level of DFT.

a = 6.6541 Å, b = 6.6541 Å, c = 6.4272 Å
α = 101.56°, β = 101.56°, γ = 110.43°
Closest atoms and distances in Å follow each position.
Positions (direct):
Ga (0.2487, 0.2487, 0.3574)  4 S 2.22-2.42
Ga (0.7513, 0.7513, 0.6426)  4 S 2.22-2.42
As (0.3173, 0.6827, 0.0000)  6 S 2.60-2.63
As (0.6827, 0.3173, 0.0000)  6 S 2.60-2.63
S (0.0000, 0.0000, 0.5000)  2 Ga 2.37, 2 S 2.40
S (0.1033, 0.4762, 0.2444)  1 Ga 2.22
S (0.3198, 0.3198, 0.7545)  1 S 2.40, 1 Ga 2.42, 2 As 2.61
S (0.4762, 0.1033, 0.2444)  1 Ga 2.22
S (0.5238, 0.8967, 0.7556)  1 Ga 2.22
S (0.6802, 0.6802, 0.2455)  1 S 2.40, 1 Ga 2.42, 2 As 2.61
S (0.8967, 0.5238, 0.7556)  1 Ga 2.22

Values from the calculation:
As for the total energy: -4.12 eV per atom. The uncorrected formation energy comes out at -0.0984 eV per atom. Its crystal system is monoclinic.